Entry 1:
VASP calculation (PBE-GGA) on a geometry-optimized Rb3Zn2Sn9 structure.

As for the density of states at the Fermi level: 0.3733 states/eV per atom. For the formation energy, the calculation gives -0.0910 eV/atom.

The space group is Immm (No. 71) and the conventional cell measures 4.9564, 12.4909 and 14.2032 Å, with angles of 90.00, 90.00 and 90.00 degrees. The asymmetric unit holds Rb at (0.0000, 0.0000, 0.0000), Rb at (0.0000, 0.0000, 0.2606), Zn at (0.0000, 0.1222, 0.5000), Sn at (0.0000, 0.3103, 0.1555), Sn at (0.0000, 0.3161, 0.3866) and Sn at (0.0000, 0.5000, 0.0000).

Entry 2:
VASP calculation (PBE-GGA) on a geometry-optimized LaMn3Pb structure.

As for the density of states at the Fermi level: 0.8718 states/eV per atom. As for the polymorph energy (0 for the lowest one): 0.522 eV per atom. For the formation energy, the calculation gives 1.4062 eV/atom.

The space group is Pm-3m (No. 221) and the conventional cell measures 4.9687, 4.9687 and 4.9687 Å, with angles of 90.00, 90.00 and 90.00 degrees. The asymmetric unit holds La at (0.0000, 0.0000, 0.0000), Mn at (0.0000, 0.0000, 0.5000) and Pb at (0.5000, 0.5000, 0.5000).